i | A plane-wave DFT calculation with PBE was carried out for a geometry-optimized LaNiSe2Br structure.

**Spin magnetization**: 0.69 μB per cell
**V**: 31.4 A^3/atom

Cell: 5.3671 5.4449 5.3671 Å, 90.00 90.00 90.00°
Closest atoms and distances in Å follow each position.
Fractional positions:
Se (0.5000, 0.0000, 0.0000)  2 Br 2.68
Se (0.0000, 0.0000, 0.5000)  2 Br 2.68
La (0.0000, 0.5000, 0.0000)  2 Br 2.72
Br (0.0000, 0.0000, 0.0000)  4 Se 2.68, 2 La 2.72
Ni (0.5000, 0.5000, 0.5000)  4 La 3.80, 8 Se 3.82

ii | A plane-wave DFT calculation with PBE was carried out for a geometry-optimized LaNiSe2Br structure.

**Spin magnetization**: 0.00 μB per cell
**V**: 22.7 A^3/atom

Cell: 4.8836 4.8836 4.7534 Å, 90.00 90.00 90.00°
Closest atoms and distances in Å follow each position.
Fractional positions:
Ni (0.0000, 0.0000, 0.0000)  2 Br 2.38, 4 Se 2.44
Br (0.0000, 0.0000, 0.5000)  2 Ni 2.38
Se (0.5000, 0.0000, 0.0000)  2 Ni 2.44
Se (0.0000, 0.5000, 0.0000)  2 Ni 2.44
La (0.5000, 0.5000, 0.5000)  8 Se 3.41, 4 Br 3.45

Calculated relative energies: i 1491; ii 0, given in meV per atom

i | A plane-wave DFT calculation with PBE was carried out for a geometry-optimized LaBrO2 structure.

**Spin magnetization**: 0.00 μB per cell
**V**: 15.5 A^3/atom

Cell: 6.0132 6.0132 5.4655 Å, 56.63 56.63 90.00°
Closest atoms and distances in Å follow each position.
Fractional positions:
Br (0.7500, 0.2500, 0.5000)  8 O 2.73, 4 La 3.01
Br (0.2500, 0.7500, 0.5000)  8 O 2.73, 4 La 3.01
La (0.7500, 0.7500, 0.5000)  8 O 2.73, 4 Br 3.01
La (0.2500, 0.2500, 0.5000)  8 O 2.73, 4 Br 3.01
O (0.2501, 0.2499, 0.0000)  4 Br 2.73, 4 La 2.73, 4 O 3.01
O (0.7501, 0.2501, 0.0000)  4 Br 2.73, 4 La 2.73, 4 O 3.01
O (0.2499, 0.7499, 0.0000)  4 Br 2.73, 4 La 2.73, 4 O 3.01
O (0.7499, 0.7501, 0.0000)  4 Br 2.73, 4 La 2.73, 4 O 3.01

ii | A plane-wave DFT calculation with PBE was carried out for a geometry-optimized LaBrO2 structure.

**Spin magnetization**: 0.00 μB per cell
**V**: 22.4 A^3/atom

Cell: 7.4574 7.3646 7.3646 Å, 47.90 109.00 71.00°
Closest atoms and distances in Å follow each position.
Fractional positions:
O (0.7500, 0.5625, 0.3135)  1 O 1.50
O (0.2500, 0.1865, 0.9375)  1 O 1.50
O (0.7500, 0.8135, 0.0625)  1 O 1.50
O (0.2500, 0.4375, 0.6865)  1 O 1.50
La (0.2500, 0.1350, 0.6350)  6 O 2.46-2.50
La (0.7500, 0.8650, 0.3650)  6 O 2.46-2.50
Br (0.2500, 0.5560, 0.0560)  4 La 3.17-3.40, 2 O 3.37
Br (0.7500, 0.4440, 0.9440)  4 La 3.17-3.40, 2 O 3.37

iii | A plane-wave DFT calculation with PBE was carried out for a geometry-optimized LaBrO2 structure.

**Spin magnetization**: 0.00 μB per cell
**V**: 19.3 A^3/atom

Cell: 4.4865 5.2094 6.8801 Å, 74.11 90.00 90.00°
Closest atoms and distances in Å follow each position.
Fractional positions:
O (0.2500, 0.7530, 0.5416)  1 O 1.49
O (0.7500, 0.2470, 0.4584)  1 O 1.49
O (0.2500, 0.6143, 0.3784)  1 O 1.49
O (0.7500, 0.3857, 0.6216)  1 O 1.49
La (0.2500, 0.1966, 0.6558)  6 O 2.44-2.64
La (0.7500, 0.8034, 0.3442)  6 O 2.44-2.64
Br (0.7500, 0.7818, 0.8981)  3 La 3.10-3.24, 5 O 3.17-3.36
Br (0.2500, 0.2182, 0.1019)  3 La 3.10-3.24, 5 O 3.17-3.36

Calculated relative energies: i 773; ii 0; iii 51, given in meV per atom

i | A plane-wave DFT calculation with PBE was carried out for a geometry-optimized LaBrO2 structure.

**Spin magnetization**: 0.00 μB per cell
**V**: 19.0 A^3/atom

Cell: 17.6985 3.9161 6.6003 Å, 90.00 138.28 90.00°
Closest atoms and distances in Å follow each position.
Fractional positions:
O (0.5912, 0.7516, 0.6608)  1 Br 2.11
O (0.0912, 0.7484, 0.1608)  1 Br 2.11
O (0.4088, 0.2484, 0.3392)  1 Br 2.11
O (0.9088, 0.2516, 0.8392)  1 Br 2.11
O (0.4090, 0.2516, 0.7956)  1 Br 2.12
O (0.5910, 0.7484, 0.2044)  1 Br 2.12
O (0.9090, 0.2484, 0.2956)  1 Br 2.12
O (0.0910, 0.7516, 0.7044)  1 Br 2.12
La (0.5433, 0.2500, 0.3367)  6 O 2.39-2.54
La (0.9567, 0.7500, 0.1633)  6 O 2.39-2.54
La (0.4567, 0.7500, 0.6633)  6 O 2.39-2.54
La (0.0433, 0.2500, 0.8367)  6 O 2.39-2.54
Br (0.2500, 0.5002, 0.5000)  2 O 2.11-2.12
Br (0.7500, 0.9998, 0.0000)  2 O 2.11-2.12
Br (0.2500, 0.0002, 0.0000)  2 O 2.11-2.12
Br (0.7500, 0.4998, 0.5000)  2 O 2.11-2.12

ii | A plane-wave DFT calculation with PBE was carried out for a geometry-optimized LaBrO2 structure.

**Spin magnetization**: 2.00 μB per cell
**V**: 19.8 A^3/atom

Cell: 7.1239 3.9979 3.9979 Å, 122.03 119.84 60.16°
Closest atoms and distances in Å follow each position.
Fractional positions:
La (0.5000, 0.5000, 0.5000)  6 O 2.44-2.48
Br (0.0000, 0.0000, 0.0000)  4 O 2.83
O (0.6524, 0.7425, 0.2575)  3 La 2.44-2.48
O (0.3476, 0.2575, 0.7425)  3 La 2.44-2.48

iii | A plane-wave DFT calculation with PBE was carried out for a geometry-optimized LaBrO2 structure.

**Spin magnetization**: 0.00 μB per cell
**V**: 22.3 A^3/atom

Cell: 3.8942 3.8942 6.7989 Å, 90.00 90.00 120.00°
Closest atoms and distances in Å follow each position.
Fractional positions:
La (0.0000, 0.0000, 0.0022)  6 O 2.35-2.59
O (0.3333, 0.6667, 0.8117)  1 Br 1.85
O (0.6667, 0.3333, 0.1019)  3 La 2.35
Br (0.3333, 0.6667, 0.5392)  1 O 1.85

Calculated relative energies: i 0; ii 397; iii 93, given in meV per atom

i | A plane-wave DFT calculation with PBE was carried out for a geometry-optimized LaBrO2 structure.

**Spin magnetization**: 0.00 μB per cell
**V**: 21.6 A^3/atom

Cell: 6.4438 6.4438 6.4438 Å, 36.85 36.85 36.85°
Closest atoms and distances in Å follow each position.
Fractional positions:
Br (0.9652, 0.9652, 0.9652)  3 O 2.35
O (0.1512, 0.1512, 0.1512)  3 La 2.37
O (0.6331, 0.6331, 0.6331)  3 Br 2.35, 1 La 2.37
La (0.5015, 0.5015, 0.5015)  4 O 2.37

ii | A plane-wave DFT calculation with PBE was carried out for a geometry-optimized LaBrO2 structure.

**Spin magnetization**: 0.00 μB per cell
**V**: 23.0 A^3/atom

Cell: 7.0109 4.0679 7.4907 Å, 90.00 120.43 90.00°
Closest atoms and distances in Å follow each position.
Fractional positions:
La (0.4089, 0.5000, 0.3123)  5 O 2.40-2.48
La (0.4089, 0.0000, 0.8123)  5 O 2.40-2.48
O (0.1995, 0.0000, 0.2014)  1 O 1.49
O (0.1995, 0.5000, 0.7014)  1 O 1.49
O (0.3425, 0.5000, 0.6077)  1 O 1.49
O (0.3425, 0.0000, 0.1077)  1 O 1.49
Br (0.7384, 0.0000, 0.6411)  3 La 3.13-3.16, 2 O 3.35
Br (0.7384, 0.5000, 0.1411)  3 La 3.13-3.16, 2 O 3.35

iii | A plane-wave DFT calculation with PBE was carried out for a geometry-optimized LaBrO2 structure.

**Spin magnetization**: 0.00 μB per cell
**V**: 22.6 A^3/atom

Cell: 6.9359 6.9685 3.9690 Å, 89.76 100.04 106.22°
Closest atoms and distances in Å follow each position.
Fractional positions:
O (0.5803, 0.2338, 0.2022)  1 O 1.46
O (0.7079, 0.4412, 0.2369)  1 O 1.46
O (0.2943, 0.0331, 0.6153)  3 La 2.30-2.38
O (0.3191, 0.5255, 0.1202)  1 Br 1.98
La (0.3624, 0.8977, 0.1358)  4 O 2.30-2.53
La (0.4666, 0.3821, 0.6678)  7 O 2.38-2.56
Br (0.7002, 0.8437, 0.7425)  3 La 3.14-3.16, 4 O 3.39-3.50
Br (0.0310, 0.4714, 0.1808)  1 O 1.98

Calculated relative energies: i 457; ii 35; iii 0, given in meV per atom